Material: Sr3Tl12Ga5
Method: DFT, PBE
State: optimized geometry

Structure (CIF):
```
data_Sr3Tl12Ga5
_chemical_formula_sum 'Sr24 Tl96 Ga40'
_symmetry_space_group_name_H-M 'I a -3 d'
_symmetry_Int_Tables_number 230
_symmetry_space_group_name_Hall '-I 4bd 2c 3'
_cell_length_a 17.826
_cell_length_b 17.826
_cell_length_c 17.826
_cell_angle_alpha 90.00
_cell_angle_beta 90.00
_cell_angle_gamma 90.00
loop_
_atom_site_label
_atom_site_fract_x
_atom_site_fract_y
_atom_site_fract_z
Sr1 0.000 0.250 0.125
Tl1 0.044 0.067 0.636
Ga1 0.000 0.000 0.000
Ga2 0.000 0.250 0.375
```

Results
Energy of formation from the pure elements: 0.124 eV/atom
Volume: 5664 Å³/cell
Density of states at the Fermi level: 0.7301 states/eV per atom
Spin magnetization: 0.00 μB per formula unit